Compound: SrHoZn2
Source: Alexandria
Functional: PBE-GGA
Structure: relaxed

Cell: 3.9545 3.9545 25.7767 Å, 90.00 90.00 120.00°
Space group R-3m (No. 166, hexagonal axes)
One atom of each set of equivalent atoms:
Sr 0.0000 0.0000 0.0000 (multiplicity 3)
Ho 0.0000 0.0000 0.5000 (multiplicity 3)
Zn 0.0000 0.0000 0.2412 (multiplicity 6)

Results
* D(E_F): 0.769 states/eV per atom
* size of the total moment: 0.00 μB per cell
* formation energy: -0.0213 eV per atom